[1]
LaReTeC2 (PBE, relaxed); uncorrected formation energy = 0.85 eV per atom; crystal system = tetragonal; space group = P4/mmm
1.0
4.204 0.000 0.000
0.000 4.204 0.000
0.000 0.000 6.031
La Re Te C
1 1 1 2
Direct
0.000 0.000 0.000
0.000 0.000 0.500
0.500 0.500 0.000
0.000 0.500 0.500
0.500 0.000 0.500


[2]
LaTh2ReC4 (PBE, relaxed); calculated total energy = -8.728 eV/atom; crystal system = orthorhombic; space group = Cmcm
1.0
1.827 -6.265 0.000
1.827 6.265 0.000
0.000 0.000 12.779
La Th Re C
2 4 2 8
Direct
0.096 0.904 0.750
0.904 0.096 0.250
0.368 0.632 0.540
0.368 0.632 0.960
0.632 0.368 0.040
0.632 0.368 0.460
0.169 0.831 0.250
0.831 0.169 0.750
0.000 0.000 0.000
0.000 0.000 0.500
0.263 0.737 0.132
0.263 0.737 0.368
0.408 0.592 0.750
0.592 0.408 0.250
0.737 0.263 0.632
0.737 0.263 0.868


[3]
LaU2ReC4 (PBE, relaxed); calculated total energy = -9.651 eV/atom; crystal system = orthorhombic; space group = Cmcm
1.0
1.810 -5.895 0.000
1.810 5.895 0.000
0.000 0.000 11.926
La U Re C
2 4 2 8
Direct
0.105 0.895 0.750
0.895 0.105 0.250
0.371 0.629 0.545
0.371 0.629 0.955
0.629 0.371 0.045
0.629 0.371 0.455
0.156 0.844 0.250
0.844 0.156 0.750
0.000 0.000 0.000
0.000 0.000 0.500
0.252 0.748 0.114
0.252 0.748 0.386
0.426 0.574 0.750
0.574 0.426 0.250
0.748 0.252 0.614
0.748 0.252 0.886


[4]
La2ZnReC (PBE, relaxed); calculated total energy = -6.684 eV/atom; crystal system = tetragonal; space group = P4/mmm
1.0
5.325 0.000 0.000
0.000 5.325 0.000
0.000 0.000 3.992
La Zn Re C
2 1 1 1
Direct
0.000 0.500 0.000
0.500 0.000 0.000
0.000 0.000 0.500
0.500 0.500 0.500
0.500 0.500 0.000